4
Lattice="-3.664 0.522 -3.901 1.531 -0.077 -5.154 -1.235 -4.210 -3.110" Properties=species:S:1:pos:R:3 comment="CeSmInAg PBE optimized geometry" ef_mev_per_atom=-262.5 sg="No. 216" final_energy_ev_per_atom=-4.323 pbc="T T T"
Ag -0.842 -0.941 -3.041
Sm 0.000 0.000 0.000
In -2.526 -2.823 -9.124
Ce -1.684 -1.882 -6.083